1.
LaBiP2O | PBE-GGA | optimized geometry

It has space group P4/mmm (No. 123), with a = 5.677 Å, b = 5.677 Å, c = 4.197 Å, α = 90.00°, β = 90.00° and γ = 90.00°. The asymmetric unit holds La at (0.000, 0.000, 0.000), Bi at (0.500, 0.500, 0.500), P at (0.000, 0.500, 0.000) and O at (0.000, 0.000, 0.500).

For the magnetization, the calculation gives 0.000 μB per atom. For the volume, the calculation gives 135.2 Å³/f.u. As for the distance to the lowest polymorph of the same formula: 0.1957 eV per atom. The value obtained for the formation energy (no corrections) is -0.16 eV/atom.

2.
LaPaBiO6 | PBE-GGA | optimized geometry

It has space group P-31c (No. 163), with a = 5.8687 Å, b = 5.8687 Å, c = 10.2364 Å, α = 90.00°, β = 90.00° and γ = 120.00°. The asymmetric unit holds La at (0.0000, 0.0000, 0.0000), Pa at (0.3333, 0.6667, 0.2500), Bi at (0.3333, 0.6667, 0.7500) and O at (0.0099, 0.3527, 0.1361).

For the magnetization, the calculation gives 0.057 μB per atom. For the volume, the calculation gives 152.7 Å³/f.u. The value obtained for the formation energy (no corrections) is -2.63 eV/atom.

3.
LaBiPb2O8 | PBE-GGA | optimized geometry

It has space group I-4 (No. 82), with a = 5.443 Å, b = 5.443 Å, c = 11.655 Å, α = 90.00°, β = 90.00° and γ = 90.00°. The asymmetric unit holds La at (0.000, 0.000, 0.000), Bi at (0.000, 0.500, 0.250), Pb at (0.000, 0.000, 0.500), Pb at (0.000, 0.500, 0.750), O at (0.204, 0.252, 0.399) and O at (0.221, 0.772, 0.838).

For the magnetization, the calculation gives 0.000 μB per atom. For the volume, the calculation gives 172.6 Å³/f.u. The value obtained for the formation energy (no corrections) is -1.32 eV/atom.

4.
LaBiPb2O6 | PBE-GGA | optimized geometry

It has space group P2_1/c (No. 14), with a = 5.986 Å, b = 6.339 Å, c = 10.563 Å, α = 90.00°, β = 123.98° and γ = 90.00°. The asymmetric unit holds La at (0.000, 0.000, 0.000), Bi at (0.500, 0.000, 0.500), Pb at (0.236, 0.039, 0.742), O at (0.156, 0.178, 0.458), O at (0.269, 0.714, 0.444) and O at (0.372, 0.040, 0.264).

For the magnetization, the calculation gives 0.000 μB per atom. For the volume, the calculation gives 166.2 Å³/f.u. The value obtained for the formation energy (no corrections) is -1.61 eV/atom.

5.
La2BiPdO5 | PBE-GGA | optimized geometry

It has space group P4/mbm (No. 127), with a = 6.977 Å, b = 6.977 Å, c = 5.798 Å, α = 90.00°, β = 90.00° and γ = 90.00°. The asymmetric unit holds La at (0.174, 0.326, 0.000), Bi at (0.000, 0.000, 0.500), Pd at (0.000, 0.500, 0.500), O at (0.000, 0.000, 0.000) and O at (0.142, 0.642, 0.252).

For the magnetization, the calculation gives 0.045 μB per atom. For the volume, the calculation gives 141.1 Å³/f.u. The value obtained for the formation energy (no corrections) is -1.97 eV/atom.

6.
LaPmBiO2 | PBE-GGA | optimized geometry

It has space group I4mm (No. 107), with a = 4.042 Å, b = 4.042 Å, c = 14.130 Å, α = 90.00°, β = 90.00° and γ = 90.00°. The asymmetric unit holds La at (0.000, 0.000, 0.000), Pm at (0.000, 0.000, 0.332), Bi at (0.000, 0.000, 0.669) and O at (0.000, 0.500, 0.413).

For the magnetization, the calculation gives 0.000 μB per atom. For the volume, the calculation gives 115.4 Å³/f.u. The value obtained for the formation energy (no corrections) is -2.64 eV/atom.

7.
LaPmBi2O8 | PBE-GGA | optimized geometry

It has space group I-4 (No. 82), with a = 5.540 Å, b = 5.540 Å, c = 11.642 Å, α = 90.00°, β = 90.00° and γ = 90.00°. The asymmetric unit holds La at (0.000, 0.000, 0.000), Pm at (0.000, 0.500, 0.750), Bi at (0.000, 0.000, 0.500), Bi at (0.000, 0.500, 0.250), O at (0.189, 0.252, 0.596) and O at (0.198, 0.749, 0.157).

For the magnetization, the calculation gives 0.000 μB per atom. For the volume, the calculation gives 178.7 Å³/f.u. The value obtained for the formation energy (no corrections) is -1.95 eV/atom.

8.
LaPrBiO | PBE-GGA | optimized geometry

It has space group R-3m (No. 166, hexagonal axes), with a = 4.2668 Å, b = 4.2668 Å, c = 44.0979 Å, α = 90.00°, β = 90.00° and γ = 120.00°. The asymmetric unit holds La at (0.0000, 0.0000, 0.0000), La at (0.0000, 0.0000, 0.5000), Pr at (0.0000, 0.0000, 0.2394), Bi at (0.0000, 0.0000, 0.3814) and O at (0.0000, 0.0000, 0.1881).

For the magnetization, the calculation gives 0.006 μB per atom. For the volume, the calculation gives 115.9 Å³/f.u. The value obtained for the formation energy (no corrections) is -1.70 eV/atom.

9.
La2BiPtO6 | PBE-GGA | optimized geometry

It has space group P2_1/c (No. 14), with a = 5.046 Å, b = 5.838 Å, c = 11.967 Å, α = 90.00°, β = 114.56° and γ = 90.00°. The asymmetric unit holds La at (0.211, 0.057, 0.245), Bi at (0.000, 0.000, 0.500), Pt at (0.500, 0.000, 0.000), O at (0.150, 0.205, 0.905), O at (0.245, 0.734, 0.914) and O at (0.318, 0.057, 0.702).

For the magnetization, the calculation gives 0.000 μB per atom. For the volume, the calculation gives 160.3 Å³/f.u. The value obtained for the formation energy (no corrections) is -2.09 eV/atom.

10.
RbLaBi2O | PBE-GGA | optimized geometry

It has space group P4/mmm (No. 123), with a = 5.690 Å, b = 5.690 Å, c = 4.675 Å, α = 90.00°, β = 90.00° and γ = 90.00°. The asymmetric unit holds Rb at (0.000, 0.000, 0.000), La at (0.500, 0.500, 0.000), Bi at (0.000, 0.500, 0.500) and O at (0.500, 0.500, 0.500).

For the magnetization, the calculation gives 0.000 μB per atom. For the volume, the calculation gives 151.4 Å³/f.u. The value obtained for the formation energy (no corrections) is -0.85 eV/atom.

11.
Rb2LaBiO4 | PBE-GGA | optimized geometry

It has space group P2/m (No. 10), with a = 6.383 Å, b = 3.713 Å, c = 6.940 Å, α = 90.00°, β = 107.88° and γ = 90.00°. The asymmetric unit holds Rb at (0.000, 0.000, 0.000), Rb at (0.500, 0.500, 0.000), La at (0.000, 0.500, 0.500), Bi at (0.500, 0.000, 0.500), O at (0.228, 0.000, 0.684) and O at (0.269, 0.500, 0.311).

For the magnetization, the calculation gives 0.000 μB per atom. For the volume, the calculation gives 156.5 Å³/f.u. The value obtained for the formation energy (no corrections) is -1.95 eV/atom.

12.
RbLaBiO4 | PBE-GGA | optimized geometry

It has space group Imma (No. 74), with a = 7.244 Å, b = 7.655 Å, c = 10.258 Å, α = 90.00°, β = 90.00° and γ = 90.00°. The asymmetric unit holds Rb at (0.000, 0.250, 0.123), La at (0.000, 0.000, 0.500), Bi at (0.250, 0.250, 0.750), O at (0.000, 0.062, 0.742) and O at (0.204, 0.250, 0.529).

For the magnetization, the calculation gives 0.000 μB per atom. For the volume, the calculation gives 142.2 Å³/f.u. The value obtained for the formation energy (no corrections) is -1.93 eV/atom.

Question: Which of these has the lowest formation energy (no corrections)?
Answer: LaPmBiO2

Question: What is the magnetization in the fifth record?
Answer: 0.045 μB per atom

Question: What is the magnetization in the ninth record?
Answer: 0.000 μB per atom